(one)
AlZnBr2: single point on PBEsol structure, SCAN.

The structure in POSCAR format:
```
AlZnBr2
1.0
5.057 0.000 0.000
2.529 4.380 0.000
2.529 1.460 4.129
Zn Al Br
1 1 2
Direct
0.250 0.250 0.250 Zn
0.500 0.500 0.500 Al
0.000 0.000 0.000 Br
0.750 0.750 0.750 Br
```

Properties
**Space-group type**: No. 216

=====

(two)
AlZnBr2: single point on PBEsol structure, SCAN.

The structure in POSCAR format:
```
AlZnBr2
1.0
3.586 0.000 0.000
0.000 3.586 0.000
0.000 0.000 6.998
Zn Al Br
1 1 2
Direct
0.500 0.500 0.000 Zn
0.500 0.500 0.500 Al
0.000 0.000 0.756 Br
0.000 0.000 0.244 Br
```

Properties
**Space-group type**: No. 123

=====

Order from most stable to least stable according to the calculation: (two), (one)

=====

(one)
ZrAl2Br: single point on PBEsol structure, SCAN.

The structure in POSCAR format:
```
ZrAl2Br
1.0
3.211 0.000 0.000
0.000 4.989 0.000
0.000 0.000 4.989
Br Zr Al
1 1 2
Direct
0.500 0.500 0.500 Br
0.500 0.000 0.000 Zr
0.000 0.000 0.500 Al
0.000 0.500 0.000 Al
```

Properties
**Space-group type**: No. 123

=====

(two)
ZrAl2Br: single point on PBEsol structure, SCAN.

The structure in POSCAR format:
```
ZrAl2Br
1.0
3.296 0.000 0.000
0.000 4.593 0.000
0.000 0.000 5.272
Br Zr Al
1 1 2
Direct
0.500 0.500 0.000 Br
0.500 0.500 0.500 Zr
0.000 0.000 0.745 Al
0.000 0.000 0.255 Al
```

Properties
**Space-group type**: No. 47

=====

(three)
ZrAl2Br: single point on PBEsol structure, SCAN.

The structure in POSCAR format:
```
ZrAl2Br
1.0
-0.705 -2.841 1.407
0.903 -0.561 3.069
-7.517 2.150 4.323
Br Zr Al
1 1 2
Direct
0.500 0.500 0.500 Br
0.000 0.000 0.000 Zr
0.249 0.249 0.253 Al
0.751 0.751 0.747 Al
```

Properties
**Space-group type**: No. 166

=====

Order from most stable to least stable according to the calculation: (three), (two), (one)

=====

(one)
AlC: single point on PBEsol structure, SCAN.

The structure in POSCAR format:
```
AlC
1.0
2.921 0.000 0.000
0.000 2.921 0.000
-1.461 -1.461 4.748
C Al
2 2
Direct
0.750 0.250 0.500 C
0.500 0.500 0.000 C
0.250 0.750 0.500 Al
0.000 0.000 0.000 Al
```

Properties
**Space-group type**: No. 141

=====

(two)
AlC: single point on PBEsol structure, SCAN.

The structure in POSCAR format:
```
AlC
1.0
2.875 0.000 0.000
-1.438 2.490 0.000
0.000 0.000 5.354
C Al
2 2
Direct
0.667 0.333 0.750 C
0.333 0.667 0.250 C
0.000 0.000 0.000 Al
0.000 0.000 0.500 Al
```

Properties
**Space-group type**: No. 194

=====

Order from most stable to least stable according to the calculation: (two), (one)

=====

(one)
AlC: single point on PBEsol structure, SCAN.

The structure in POSCAR format:
```
AlC
1.0
-2.649 -0.002 -1.412
-0.579 -2.064 -2.101
-1.990 -2.180 0.546
C Al
1 1
Direct
0.500 0.500 0.500 C
0.000 0.000 0.000 Al
```

Properties
**Space-group type**: No. 225

=====

(two)
AlC: single point on PBEsol structure, SCAN.

The structure in POSCAR format:
```
AlC
1.0
2.680 0.000 0.000
0.000 2.680 0.000
0.000 0.000 2.680
C Al
1 1
Direct
0.500 0.500 0.500 C
0.000 0.000 0.000 Al
```

Properties
**Space-group type**: No. 221

=====

(three)
AlC: single point on PBEsol structure, SCAN.

The structure in POSCAR format:
```
AlC
1.0
-1.392 2.463 0.106
0.048 -0.139 3.837
3.344 1.888 0.027
C Al
2 2
Direct
0.249 0.500 0.000 C
0.751 0.000 0.500 C
0.000 0.500 0.500 Al
0.000 0.000 0.000 Al
```

Properties
**Space-group type**: No. 129

=====

Order from most stable to least stable according to the calculation: (one), (three), (two)

=====

(one)
AlC3: single point on PBEsol structure, SCAN.

The structure in POSCAR format:
```
AlC3
1.0
-1.411 -3.817 0.913
3.454 0.454 -2.293
3.032 -0.030 4.562
C Al
6 2
Direct
0.116 0.884 0.750 C
0.768 0.884 0.750 C
0.116 0.232 0.750 C
0.884 0.116 0.250 C
0.232 0.116 0.250 C
0.884 0.768 0.250 C
0.667 0.333 0.750 Al
0.333 0.667 0.250 Al
```

Properties
**Space-group type**: No. 194

=====

(two)
AlC3: single point on PBEsol structure, SCAN.

The structure in POSCAR format:
```
AlC3
1.0
-1.396 -1.836 -1.409
1.816 -1.889 0.663
-2.645 0.838 4.123
C Al
3 1
Direct
0.750 0.250 0.500 C
0.500 0.500 0.000 C
0.250 0.750 0.500 C
0.000 0.000 0.000 Al
```

Properties
**Space-group type**: No. 139

=====

Order from most stable to least stable according to the calculation: (one), (two)

=====

(one)
Sc2AlC: single point on PBEsol structure, SCAN.

The structure in POSCAR format:
```
Sc2AlC
1.0
3.263 0.000 0.000
-1.631 2.826 0.000
0.000 0.000 14.946
Sc C Al
4 2 2
Direct
0.333 0.667 0.083 Sc
0.667 0.333 0.583 Sc
0.667 0.333 0.917 Sc
0.333 0.667 0.417 Sc
0.000 0.000 0.000 C
0.000 0.000 0.500 C
0.667 0.333 0.250 Al
0.333 0.667 0.750 Al
```

Properties
**Space-group type**: No. 194

=====

(two)
Sc2AlC: single point on PBEsol structure, SCAN.

The structure in POSCAR format:
```
Sc2AlC
1.0
-4.226 1.765 -3.346
1.332 -5.454 -0.807
-1.694 0.589 5.381
Sc C Al
4 2 2
Direct
0.797 0.875 0.422 Sc
0.453 0.375 0.578 Sc
0.125 0.547 0.922 Sc
0.625 0.203 0.078 Sc
0.500 0.500 0.000 C
0.750 0.250 0.500 C
0.000 0.000 0.000 Al
0.250 0.750 0.500 Al
```

Properties
**Space-group type**: No. 122

=====

Order from most stable to least stable according to the calculation: (one), (two)

=====

(one)
Ca2AlCl: single point on PBEsol structure, SCAN.

The structure in POSCAR format:
```
Ca2AlCl
1.0
3.527 0.000 0.000
0.000 3.766 0.023
0.000 -0.062 8.165
Ca Al Cl
2 1 1
Direct
0.000 0.999 0.769 Ca
0.000 0.001 0.231 Ca
0.500 0.500 0.000 Al
0.500 0.000 0.500 Cl
```

Properties
**Space-group type**: No. 10

=====

(two)
Ca2AlCl: single point on PBEsol structure, SCAN.

The structure in POSCAR format:
```
Ca2AlCl
1.0
-2.967 -1.859 2.154
1.184 -3.831 -1.676
3.902 -0.831 4.657
Ca Al Cl
2 1 1
Direct
0.000 0.000 0.000 Ca
0.500 0.500 0.500 Ca
0.000 0.000 0.500 Al
0.500 0.500 0.000 Cl
```

Properties
**Space-group type**: No. 47

=====

Order from most stable to least stable according to the calculation: (one), (two)

=====

(one)
CaAlCl2: single point on PBEsol structure, SCAN.

The structure in POSCAR format:
```
CaAlCl2
1.0
5.094 0.000 0.000
2.547 4.412 0.000
2.547 1.471 4.159
Ca Al Cl
1 1 2
Direct
0.250 0.250 0.250 Ca
0.500 0.500 0.500 Al
0.000 0.000 0.000 Cl
0.750 0.750 0.750 Cl
```

Properties
**Space-group type**: No. 216

=====

(two)
CaAlCl2: single point on PBEsol structure, SCAN.

The structure in POSCAR format:
```
CaAlCl2
1.0
-4.738 -0.336 -0.135
2.705 -4.422 -0.281
0.084 -2.748 3.876
Ca Al Cl
1 1 2
Direct
0.000 0.000 0.000 Ca
0.500 0.000 0.500 Al
0.250 0.500 0.250 Cl
0.750 0.500 0.750 Cl
```

Properties
**Space-group type**: No. 139

=====

Order from most stable to least stable according to the calculation: (two), (one)